# PBE-GGA MgZr3Pd4, optimized geometry
data_MgZr3Pd4
_chemical_formula_sum 'Mg2 Zr6 Pd8'
_space_group_name_H-M_alt 'I 4/m m m'
_space_group_IT_number 139
_space_group_name_Hall '-I 4 2'
_cell_length_a 4.5910
_cell_length_b 4.5910
_cell_length_c 13.8815
_cell_angle_alpha 90.00
_cell_angle_beta 90.00
_cell_angle_gamma 90.00
loop_
_atom_site_label
_atom_site_type_symbol
_atom_site_fract_x
_atom_site_fract_y
_atom_site_fract_z
_atom_site_occupancy
Mg1 Mg 0.0000 0.0000 0.0000 1
Zr1 Zr 0.0000 0.0000 0.2414 1
Zr2 Zr 0.0000 0.0000 0.5000 1
Pd1 Pd 0.0000 0.5000 0.1196 1
# Total moment = 0.001 μB per cell
# Mass density = 8.2 Mg/m³
# Energy of formation = -4.946 eV per formula unit

# PBE-GGA Y2Ga4Ir3Au, optimized geometry
data_Y2Ga4Ir3Au
_chemical_formula_sum 'Y2 Ga4 Ir3 Au1'
_space_group_name_H-M_alt 'P -4 m 2'
_space_group_IT_number 115
_cell_length_a 4.1048
_cell_length_b 4.1048
_cell_length_c 11.0555
_cell_angle_alpha 90.00
_cell_angle_beta 90.00
_cell_angle_gamma 90.00
loop_
_space_group_symop_operation_xyz
'x,y,z'
'y,-x,-z'
'-x,-y,z'
'-y,x,-z'
'-x,y,z'
'-y,-x,-z'
'x,-y,z'
'y,x,-z'
loop_
_atom_site_label
_atom_site_type_symbol
_atom_site_fract_x
_atom_site_fract_y
_atom_site_fract_z
_atom_site_occupancy
Y1 Y 0.0000 0.5000 0.2407 1
Ga1 Ga 0.0000 0.0000 0.0000 1
Ga2 Ga 0.0000 0.5000 0.6390 1
Ga3 Ga 0.5000 0.5000 0.0000 1
Ir1 Ir 0.0000 0.5000 0.8622 1
Ir2 Ir 0.5000 0.5000 0.5000 1
Au1 Au 0.0000 0.0000 0.5000 1
# Total moment = 0.000 μB per cell
# Mass density = 11.0 Mg/m³
# Energy of formation = -6.553 eV per formula unit